Arrangement i

Crystalline TaBi4ClO8 at its relaxed geometry, computed with GGA-PBEsol.

Cell lengths 5.4649, 5.5002, 28.6224 Å; angles 90.00, 90.00, 90.00 degrees
With the nearest neighbours (Å) after each atom.
Atoms (fractional coordinates):
1 Ta 0.0000 0.9805 0.7500  6 O 1.91-2.07
2 Ta 0.5000 0.4805 0.7500  6 O 1.91-2.07
3 Ta 0.0000 0.0195 0.2500  6 O 1.91-2.07
4 Ta 0.5000 0.5195 0.2500  6 O 1.91-2.07
5 Bi 0.4915 0.4903 0.0666  4 O 2.21-2.28
6 Bi 0.4803 0.0476 0.8434  4 O 2.26-2.36
7 Bi 0.9803 0.5476 0.6566  4 O 2.26-2.36
8 Bi 0.4803 0.9524 0.3434  4 O 2.26-2.36
9 Bi 0.9803 0.4524 0.1566  4 O 2.26-2.36
10 Bi 0.5085 0.5097 0.9334  4 O 2.21-2.28
11 Bi 0.0085 0.0097 0.5666  4 O 2.21-2.28
12 Bi 0.5085 0.4903 0.4334  4 O 2.21-2.28
13 Bi 0.0197 0.4524 0.3434  4 O 2.26-2.36
14 Bi 0.5197 0.0476 0.6566  4 O 2.26-2.36
15 Bi 0.0197 0.5476 0.8434  4 O 2.26-2.36
16 Bi 0.5197 0.9524 0.1566  4 O 2.26-2.36
17 Bi 0.9915 0.0097 0.9334  4 O 2.21-2.28
18 Bi 0.4915 0.5097 0.5666  4 O 2.21-2.28
19 Bi 0.9915 0.9903 0.4334  4 O 2.21-2.28
20 Bi 0.0085 0.9903 0.0666  4 O 2.21-2.28
21 Cl 0.5000 0.0000 0.5000  8 Bi 3.29-3.39, 8 O 3.55-3.61
22 Cl 0.0000 0.5000 0.5000  8 Bi 3.29-3.39, 8 O 3.55-3.61
23 Cl 0.5000 0.0000 0.0000  8 Bi 3.29-3.39, 8 O 3.55-3.61
24 Cl 0.0000 0.5000 0.0000  8 Bi 3.29-3.39, 8 O 3.55-3.61
25 O 0.2453 0.2956 0.2348  2 Ta 1.91-2.07
26 O 0.7453 0.2044 0.7652  2 Ta 1.91-2.07
27 O 0.2453 0.7044 0.7348  2 Ta 1.91-2.07
28 O 0.7453 0.7956 0.2652  2 Ta 1.91-2.07
29 O 0.7547 0.2956 0.2652  2 Ta 1.91-2.07
30 O 0.2547 0.2044 0.7348  2 Ta 1.91-2.07
31 O 0.7547 0.7044 0.7652  2 Ta 1.91-2.07
32 O 0.2547 0.7956 0.2348  2 Ta 1.91-2.07
33 O 0.4040 0.5664 0.3162  1 Ta 1.98
34 O 0.9040 0.9336 0.6838  1 Ta 1.98
35 O 0.4040 0.4336 0.8162  1 Ta 1.98
36 O 0.9040 0.0664 0.1838  1 Ta 1.98
37 O 0.5960 0.5664 0.1838  1 Ta 1.98
38 O 0.0960 0.9336 0.8162  1 Ta 1.98
39 O 0.5960 0.4336 0.6838  1 Ta 1.98
40 O 0.0960 0.0664 0.3162  1 Ta 1.98
41 O 0.7484 0.2484 0.1042  3 Bi 2.21-2.28
42 O 0.2484 0.2516 0.8958  3 Bi 2.21-2.28
43 O 0.7484 0.7516 0.6042  3 Bi 2.21-2.28
44 O 0.2484 0.7484 0.3958  3 Bi 2.21-2.28
45 O 0.2468 0.2414 0.1059  3 Bi 2.21-2.36
46 O 0.7468 0.2586 0.8941  3 Bi 2.21-2.36
47 O 0.2468 0.7586 0.6059  3 Bi 2.21-2.36
48 O 0.7468 0.7414 0.3941  3 Bi 2.21-2.36
49 O 0.7532 0.2414 0.3941  3 Bi 2.21-2.36
50 O 0.2532 0.2586 0.6059  3 Bi 2.21-2.36
51 O 0.7532 0.7586 0.8941  3 Bi 2.21-2.36
52 O 0.2532 0.7414 0.1059  3 Bi 2.21-2.36
53 O 0.2516 0.2484 0.3958  3 Bi 2.21-2.28
54 O 0.7516 0.2516 0.6042  3 Bi 2.21-2.28
55 O 0.2516 0.7516 0.8958  3 Bi 2.21-2.28
56 O 0.7516 0.7484 0.1042  3 Bi 2.21-2.28

Arrangement ii

Crystalline TaBi4ClO8 at its relaxed geometry, computed with GGA-PBEsol.

Cell lengths 3.8738, 3.8738, 13.8533 Å; angles 90.00, 90.00, 90.00 degrees
With the nearest neighbours (Å) after each atom.
Atoms (fractional coordinates):
1 Ta 0.0000 0.0000 0.0000  6 O 1.94-2.00
2 Bi 0.5000 0.5000 0.1825  4 O 2.40
3 Bi 0.5000 0.5000 0.8175  4 O 2.40
4 Bi 0.0000 0.0000 0.6376  4 O 2.22
5 Bi 0.0000 0.0000 0.3624  4 O 2.22
6 Cl 0.5000 0.5000 0.5000  8 Bi 3.34, 8 O 3.56
7 O 0.0000 0.0000 0.1442  1 Ta 2.00
8 O 0.0000 0.5000 0.2842  4 Bi 2.22-2.40
9 O 0.5000 0.0000 0.0000  2 Ta 1.94
10 O 0.0000 0.5000 0.0000  2 Ta 1.94
11 O 0.5000 0.0000 0.2842  4 Bi 2.22-2.40
12 O 0.0000 0.5000 0.7158  4 Bi 2.22-2.40
13 O 0.5000 0.0000 0.7158  4 Bi 2.22-2.40
14 O 0.0000 0.0000 0.8558  1 Ta 2.00

Among the structures shown above, arrangement i is the most stable, with the second-best lying 0.058 eV/atom higher.